Below is a relaxed K2CuTc crystal, with properties calculated at the PBE level.

```
4
Lattice="-2.0965 2.9416 5.1537 2.0965 -2.9416 5.1537 2.0965 2.9416 -5.1537" Properties=species:S:1:pos:R:3 pbc="T T T"
K 0.0000 0.0000 0.0000
K 0.0000 2.9416 1.9404
Cu 0.0000 0.0000 4.2311
Tc 2.0965 0.0000 3.0795
```

Properties
- electronic total energy (eV per atom) = -3.10
- space group = Imm2, No. 44
- E above lowest polymorph (kcal/mol of atoms) = 5.82

Below is a relaxed GaBi2Pt3 crystal, with properties calculated at the PBE level.

```
12
Lattice="6.0499 -3.7422 0.0000 6.0499 3.7422 0.0000 0.0000 0.0000 5.6149" Properties=species:S:1:pos:R:3 pbc="T T T"
Ga 6.0499 2.2406 2.8075
Ga 6.0499 -2.2406 0.0000
Bi 3.9234 1.2724 0.0643
Bi 3.9234 -1.2724 2.8718
Bi 8.1763 1.2724 0.0643
Bi 8.1763 -1.2724 2.8718
Pt 1.5807 0.0256 1.4287
Pt 1.5807 -0.0256 4.2361
Pt 6.0499 0.0245 4.2533
Pt 6.0499 -0.0245 1.4458
Pt 10.5190 0.0256 1.4287
Pt 10.5190 -0.0256 4.2361
```

Properties
- electronic total energy (eV per atom) = -5.20
- space group = Cmc2_1, No. 36

Below is a relaxed TbYCdIn crystal, with properties calculated at the PBE level.

```
4
Lattice="0.0000 3.7593 3.7593 3.7593 0.0000 3.7593 3.7593 3.7593 0.0000" Properties=species:S:1:pos:R:3 pbc="T T T"
Tb 0.0000 0.0000 0.0000
Y 3.7593 3.7593 3.7593
Cd 5.6389 5.6389 5.6389
In 1.8796 1.8796 1.8796
```

Properties
- electronic total energy (eV per atom) = -4.12
- space group = F-43m, No. 216

Below is a relaxed Pm3PrNd6Ho2 crystal, with properties calculated at the PBE level.

```
12
Lattice="3.1646 -5.4802 0.0000 3.1646 5.4802 0.0000 -2.1144 0.0000 11.8995" Properties=species:S:1:pos:R:3 pbc="T T T"
Pm 0.0000 0.0000 0.0000
Pm 3.1646 1.8295 0.0000
Pm 3.1646 -1.8295 0.0000
Pr 2.1074 0.0000 5.9497
Nd 1.0469 1.8334 2.9937
Nd -0.0073 0.0000 8.9051
Nd 1.0469 -1.8334 2.9937
Nd 3.1678 1.8334 8.9058
Nd 4.2220 0.0000 2.9944
Nd 3.1678 -1.8334 8.9058
Ho 2.1074 3.6545 5.9497
Ho 2.1074 -3.6545 5.9497
```

Properties
- electronic total energy (eV per atom) = -4.72
- space group = C2/m, No. 12

Below is a relaxed ZnFe2ReN crystal, with properties calculated at the PBE level.

```
5
Lattice="3.8436 0.0000 0.0000 0.0000 3.8436 0.0000 0.0000 0.0000 3.9961" Properties=species:S:1:pos:R:3 pbc="T T T"
Zn 0.0000 0.0000 0.0000
Fe 0.0000 1.9218 1.9980
Fe 1.9218 0.0000 1.9980
Re 1.9218 1.9218 0.0000
N 1.9218 1.9218 1.9980
```

Properties
- electronic total energy (eV per atom) = -7.78
- space group = P4/mmm, No. 123
- E_form (uncorrected) (eV per atom) = 0.02

Below is a relaxed AgMoIr2 crystal, with properties calculated at the PBE level.

```
4
Lattice="3.3810 0.0000 0.0000 0.0000 3.3810 0.0000 0.0000 0.0000 5.6214" Properties=species:S:1:pos:R:3 pbc="T T T"
Ag 0.0000 0.0000 0.0000
Mo 1.6905 1.6905 3.9829
Ir 0.0000 0.0000 2.8625
Ir 1.6905 1.6905 1.4407
```

Properties
- electronic total energy (eV per atom) = -7.40
- space group = P4mm, No. 99
- E above lowest polymorph (kcal/mol of atoms) = 10.05

Below is a relaxed CeCd7Hg4 crystal, with properties calculated at the PBE level.

```
12
Lattice="5.9708 -2.9753 0.0000 5.9708 2.9753 0.0000 -5.2937 0.0000 8.8311" Properties=species:S:1:pos:R:3 pbc="T T T"
Ce 0.0000 0.0000 0.0000
Cd -1.1799 0.0000 3.9425
Cd 1.6137 0.0000 3.1259
Cd 3.2509 0.0000 0.8557
Cd 5.9708 0.0000 0.0000
Cd 3.3971 0.0000 7.9754
Cd 5.0343 0.0000 5.7052
Cd 7.8279 0.0000 4.8886
Hg -2.0174 0.0000 6.8367
Hg 1.1866 0.0000 5.9606
Hg 5.4614 0.0000 2.8705
Hg 8.6654 0.0000 1.9944
```

Properties
- electronic total energy (eV per atom) = -1.07
- space group = C2/m, No. 12

Below is a relaxed CaY2Mg crystal, with properties calculated at the PBE level.

```
4
Lattice="1.8131 1.0468 11.4785 -1.8131 1.0468 11.4785 0.0000 -2.0936 11.4785" Properties=species:S:1:pos:R:3 pbc="T T T"
Ca 0.0000 0.0000 0.0000
Y 0.0000 0.0000 8.3392
Y 0.0000 0.0000 26.0963
Mg 0.0000 0.0000 17.2177
```

Properties
- electronic total energy (eV per atom) = -4.05
- space group = R-3m, No. 166

Below is a relaxed ThGa12Ir4 crystal, with properties calculated at the PBE level.

```
17
Lattice="-4.4156 4.4156 4.4156 4.4156 -4.4156 4.4156 4.4156 4.4156 -4.4156" Properties=species:S:1:pos:R:3 pbc="T T T"
Th 0.0000 0.0000 0.0000
Ga 2.9819 1.4174 0.0000
Ga 5.8492 1.4174 0.0000
Ga 4.4156 -1.4336 2.9981
Ga 2.9981 4.4156 -1.4336
Ga 1.4174 0.0000 2.9819
Ga 0.0000 2.9819 1.4174
Ga 4.4156 1.4336 2.9981
Ga 2.9981 4.4156 1.4336
Ga 1.4174 0.0000 5.8492
Ga 0.0000 5.8492 1.4174
Ga -1.4336 2.9981 4.4156
Ga 1.4336 2.9981 4.4156
Ir 2.2078 2.2078 -2.2078
Ir 2.2078 -2.2078 2.2078
Ir -2.2078 2.2078 2.2078
Ir 2.2078 2.2078 2.2078
```

Properties
- electronic total energy (eV per atom) = -4.83
- space group = Im-3, No. 204

Below is a relaxed Tb12Bi3C5 crystal, with properties calculated at the PBE level.

```
80
Lattice="-8.0182 8.0182 8.0182 8.0182 -8.0182 8.0182 8.0182 8.0182 -8.0182" Properties=species:S:1:pos:R:3 pbc="T T T"
Tb 2.3570 -0.5941 0.8042
Tb 9.6703 4.8134 -4.6033
Tb 10.3753 0.5941 0.8042
Tb 9.6703 -3.2049 4.6033
Tb 7.4241 -0.8042 2.3570
Tb 12.6215 -1.6521 3.2049
Tb 0.8042 2.3570 -0.5941
Tb 11.2231 3.4150 -1.6521
Tb 4.8134 4.6033 -1.6521
Tb 7.2140 2.3570 0.5941
Tb -0.5941 0.8042 2.3570
Tb 4.6033 -1.6521 4.8134
Tb 7.4241 7.2140 -2.3570
Tb 4.6033 1.6521 3.2049
Tb 4.8134 -4.6033 9.6703
Tb 7.2140 -2.3570 7.4241
Tb 3.2049 4.6033 1.6521
Tb 8.8225 5.6612 0.5941
Tb 4.6033 9.6703 -3.2049
Tb 7.4241 0.8042 5.6612
Tb 2.3570 7.4241 -0.8042
Tb 9.6703 3.2049 3.4150
Tb 1.6521 3.2049 4.6033
Tb 2.3570 0.5941 7.2140
Tb 5.6612 7.4241 0.8042
Tb 6.3662 4.8134 3.4150
Tb -1.6521 4.8134 4.6033
Tb 5.6612 0.5941 8.8225
Tb 0.5941 7.2140 2.3570
Tb 3.4150 -1.6521 11.2231
Tb -0.8042 2.3570 7.4241
Tb 4.8134 3.4150 6.3662
Tb 0.8042 10.3753 0.5941
Tb 3.2049 12.6215 -1.6521
Tb 3.4150 6.3662 4.8134
Tb 0.5941 0.8042 10.3753
Tb 3.4150 9.6703 3.2049
Tb 8.6124 7.2140 5.6612
Tb 0.8042 5.6612 7.4241
Tb 3.2049 3.4150 9.6703
Tb -3.2049 4.6033 9.6703
Tb 7.2140 5.6612 8.6124
Tb -4.6033 9.6703 4.8134
Tb 0.5941 8.8225 5.6612
Tb -1.6521 11.2231 3.4150
Tb -2.3570 7.4241 7.2140
Tb -1.6521 3.2049 12.6215
Tb 5.6612 8.6124 7.2140
Bi 4.0091 2.0046 0.0000
Bi 8.0182 4.0091 -2.0046
Bi 2.0046 0.0000 4.0091
Bi 10.0228 0.0000 4.0091
Bi 0.0000 4.0091 2.0046
Bi 4.0091 -2.0046 8.0182
Bi 4.0091 10.0228 0.0000
Bi 8.0182 4.0091 6.0137
Bi -2.0046 8.0182 4.0091
Bi 6.0137 8.0182 4.0091
Bi 0.0000 4.0091 10.0228
Bi 4.0091 6.0137 8.0182
C 0.0000 0.0000 0.0000
C 4.0091 4.0091 -4.0091
C 4.0091 -4.0091 4.0091
C 8.0182 0.0000 0.0000
C 12.0274 2.0046 0.0000
C 8.0182 -4.0091 6.0137
C 6.0137 8.0182 -4.0091
C 6.0137 0.0000 4.0091
C 4.0091 6.0137 0.0000
C 8.0182 4.0091 2.0046
C -4.0091 4.0091 4.0091
C 0.0000 8.0182 0.0000
C 0.0000 0.0000 8.0182
C 4.0091 4.0091 4.0091
C 0.0000 4.0091 6.0137
C 4.0091 2.0046 8.0182
C 2.0046 8.0182 4.0091
C 2.0046 0.0000 12.0274
C 0.0000 12.0274 2.0046
C -4.0091 6.0137 8.0182
```

Properties
- electronic total energy (eV per atom) = -5.97
- space group = Ia-3d, No. 230

Below is a relaxed Na2ReAu2 crystal, with properties calculated at the PBE level.

```
10
Lattice="8.2242 0.0000 0.0000 0.0000 8.2242 0.0000 0.0000 0.0000 2.7461" Properties=species:S:1:pos:R:3 pbc="T T T"
Na 0.9969 3.1152 0.0000
Na 3.1152 7.2273 0.0000
Na 5.1090 0.9969 0.0000
Na 7.2273 5.1090 0.0000
Re 0.0000 0.0000 1.3730
Re 4.1121 4.1121 1.3730
Au 1.4846 5.5967 1.3730
Au 2.6275 1.4846 1.3730
Au 5.5967 6.7396 1.3730
Au 6.7396 2.6275 1.3730
```

Properties
- electronic total energy (eV per atom) = -3.74
- space group = P4/mbm, No. 127
- E above lowest polymorph (kcal/mol of atoms) = 0.00

Below is a relaxed SrMgS3 crystal, with properties calculated at the PBE level.

```
5
Lattice="5.4495 0.0000 0.0000 0.0000 5.4495 0.0000 0.0000 0.0000 5.4495" Properties=species:S:1:pos:R:3 pbc="T T T"
Sr 0.0000 0.0000 0.0000
Mg 2.7248 2.7248 2.7248
S 0.0000 0.0000 2.7248
S 0.0000 2.7248 0.0000
S 2.7248 0.0000 0.0000
```

Properties
- electronic total energy (eV per atom) = -3.07
- space group = Pm-3m, No. 221
- E_form (uncorrected) (eV per atom) = 0.06
- E above lowest polymorph (kcal/mol of atoms) = 22.87

Below is a relaxed Ti2Al2Pd3 crystal, with properties calculated at the PBE level.

```
7
Lattice="4.5293 -1.8889 0.0000 4.5293 1.8889 0.0000 -0.7192 0.0000 6.4459" Properties=species:S:1:pos:R:3 pbc="T T T"
Ti 0.9078 0.0000 2.7434
Ti 7.4315 0.0000 3.7024
Al 3.5795 0.0000 1.5170
Al 4.7598 0.0000 4.9288
Pd 0.0000 0.0000 0.0000
Pd 1.9851 0.0000 5.3561
Pd 6.3543 0.0000 1.0897
```

Properties
- electronic total energy (eV per atom) = -6.11
- space group = C2/m, No. 12
- E above lowest polymorph (kcal/mol of atoms) = 1.00

Below is a relaxed La2Ce4Bi3O2 crystal, with properties calculated at the PBE level.

```
11
Lattice="-2.3890 2.3890 13.4914 2.3890 -2.3890 13.4914 2.3890 2.3890 -13.4914" Properties=species:S:1:pos:R:3 pbc="T T T"
La 0.0000 0.0000 5.3093
La 0.0000 0.0000 21.6734
Ce 2.3890 0.0000 2.2796
Ce 2.3890 0.0000 11.2117
Ce 0.0000 2.3890 2.2796
Ce 0.0000 2.3890 11.2117
Bi 0.0000 0.0000 8.7217
Bi 0.0000 0.0000 13.4914
Bi 0.0000 0.0000 18.2610
O 0.0000 0.0000 2.6739
O 0.0000 0.0000 24.3088
```

Properties
- electronic total energy (eV per atom) = -6.51
- space group = I4/mmm, No. 139
- E_form (uncorrected) (eV per atom) = -1.50

Below is a relaxed MnCd2Ag crystal, with properties calculated at the PBE level.

```
4
Lattice="4.8024 -1.4965 0.0000 4.8024 1.4965 0.0000 -0.8126 0.0000 5.2647" Properties=species:S:1:pos:R:3 pbc="T T T"
Mn 0.0000 0.0000 0.0000
Cd 1.8053 0.0000 3.9653
Cd 6.9870 0.0000 1.2994
Ag 4.3962 0.0000 2.6324
```

Properties
- electronic total energy (eV per atom) = -3.28
- space group = C2/m, No. 12

Below is a relaxed AcLa12Pr5 crystal, with properties calculated at the PBE level.

```
18
Lattice="9.7097 -5.6125 0.0000 9.7097 5.6125 0.0000 -2.1540 0.0000 6.1110" Properties=species:S:1:pos:R:3 pbc="T T T"
Ac 0.0000 0.0000 0.0000
La 4.2976 3.7217 6.1034
La 5.3942 1.8792 3.0736
La 8.6327 3.6937 3.0555
La 9.7097 1.8509 0.0000
La 12.9679 3.7217 0.0076
La 11.8713 1.8792 3.0375
La 5.3942 -1.8792 3.0736
La 4.2976 -3.7217 6.1034
La 9.7097 -1.8509 0.0000
La 8.6327 -3.6937 3.0555
La 11.8713 -1.8792 3.0375
La 12.9679 -3.7217 0.0076
Pr 2.1690 0.0000 3.0880
Pr 6.4777 0.0000 0.0162
Pr 8.6327 0.0000 3.0555
Pr 10.7878 0.0000 6.0948
Pr 15.0965 0.0000 3.0230
```

Properties
- electronic total energy (eV per atom) = -4.83
- space group = C2/m, No. 12

Below is a relaxed CsH5N2 crystal, with properties calculated at the PBE level.

```
32
Lattice="6.3517 0.0000 0.0000 0.0000 5.4404 0.0000 0.0000 0.0000 11.4654" Properties=species:S:1:pos:R:3 pbc="T T T"
Cs 1.5691 1.3601 1.5659
Cs 1.6068 4.0803 7.2986
Cs 4.7450 1.3601 4.1668
Cs 4.7826 4.0803 9.8995
H 0.3322 1.3601 8.9452
H 0.7607 1.3601 5.7043
H 0.8347 4.0803 11.4373
H 1.4486 0.5133 9.8438
H 1.4486 2.2069 9.8438
H 1.7273 3.2335 4.1111
H 1.7273 4.9271 4.1111
H 2.3412 1.3601 5.7046
H 2.4152 4.0803 11.4370
H 2.8436 4.0803 3.2125
H 3.5081 1.3601 8.2529
H 3.9365 1.3601 0.0284
H 4.0106 4.0803 5.7608
H 4.6245 0.5133 7.3543
H 4.6245 2.2069 7.3543
H 4.9031 3.2335 1.6216
H 4.9031 4.9271 1.6216
H 5.5170 1.3601 0.0281
H 5.5911 4.0803 5.7611
H 6.0195 4.0803 2.5202
N 1.3178 1.3601 9.2462
N 1.5506 1.3601 5.0416
N 1.6253 4.0803 10.7743
N 1.8580 4.0803 3.5135
N 4.4937 1.3601 7.9519
N 4.7264 1.3601 0.6911
N 4.8012 4.0803 6.4238
N 5.0339 4.0803 2.2192
```

Properties
- electronic total energy (eV per atom) = -4.64
- space group = Pnma, No. 62

Below is a relaxed ErB4C2 crystal, with properties calculated at the PBE level.

```
14
Lattice="6.0959 0.0000 0.0000 0.0000 6.0959 0.0000 0.0000 0.0000 4.1592" Properties=species:S:1:pos:R:3 pbc="T T T"
Er 0.0000 0.0000 0.0000
Er 3.0479 3.0479 2.0796
B 0.3638 2.3480 2.0796
B 0.6999 3.4117 0.0000
B 2.3480 0.3638 2.0796
B 2.6842 5.3960 0.0000
B 3.4117 0.6999 0.0000
B 3.7479 5.7321 2.0796
B 5.3960 2.6842 0.0000
B 5.7321 3.7479 2.0796
C 1.1620 1.1620 2.0796
C 1.8859 4.2100 0.0000
C 4.2100 1.8859 0.0000
C 4.9339 4.9339 2.0796
```

Properties
- electronic total energy (eV per atom) = -6.90
- space group = P4_2/mnm, No. 136

Below is a relaxed Rb2ZnSnH6 crystal, with properties calculated at the PBE level.

```
10
Lattice="4.1749 -4.1580 0.0000 4.1749 4.1580 0.0000 -4.1512 0.0000 4.2083" Properties=species:S:1:pos:R:3 pbc="T T T"
Rb 4.1749 2.0771 0.0000
Rb 4.1749 -2.0771 0.0000
Zn -2.0756 0.0000 2.1042
Sn 2.0993 0.0000 2.1042
H -0.1798 0.0000 2.0990
H 2.0993 2.2691 2.1042
H -2.0687 0.0000 4.0258
H 6.2673 0.0000 0.1825
H 2.0993 -2.2691 2.1042
H 4.3784 0.0000 2.1094
```

Properties
- electronic total energy (eV per atom) = -2.70
- space group = C2/m, No. 12